{"formula": "VSb2SeN", "functional": "PBE", "state": "optimized geometry", "e_form_raw_mev_per_atom": 1318, "dos_at_fermi_per_ev_cell": 6.40, "energy_ev_per_atom": -4.52, "density_g_cm3": 5.89, "sg": "No. 123", "lattice_angstrom": [[5.478, 0.000, 0.000], [0.000, 5.478, 0.000], [0.000, 0.000, 3.638]], "species": ["Sb", "Sb", "N", "Se", "V"], "fractional_positions": [[0.500, 0.000, 0.000], [0.000, 0.500, 0.000], [0.000, 0.000, 0.500], [0.000, 0.000, 0.000], [0.500, 0.500, 0.500]]}